No. 1
Material: ZnPb2Br
Method: DFT, PBE
State: relaxed

```
ZnPb2Br
1.0
-3.303 -0.904 -0.983
0.256 -2.968 1.954
-3.147 4.169 6.746
Pb Br Zn
2 1 1
direct
0.000 0.000 0.026
0.000 0.000 0.474
0.500 0.500 0.750
0.500 0.500 0.250
```

ρ	8.58	Mg/m³
calculated volume	108	Å³ per cell
distance to the lowest polymorph of the same formula	25	kJ/mol of formula units
crystal system	orthorhombic
spin magnetization	0.000	μB per formula unit


No. 2
Material: ZnPb2Br
Method: DFT, PBE
State: relaxed

```
ZnPb2Br
1.0
6.117 -0.007 -0.017
2.121 5.738 0.017
-3.311 -4.026 3.201
Br Pb Zn
1 2 1
direct
0.250 0.750 0.500
0.527 0.527 0.000
0.973 0.973 0.000
0.750 0.250 0.500
```

ρ	8.25	Mg/m³
calculated volume	113	Å³ per cell
distance to the lowest polymorph of the same formula	41	kJ/mol of formula units
crystal system	orthorhombic
spin magnetization	0.000	μB per formula unit


No. 3
Material: ZnPb2Br
Method: DFT, PBE
State: relaxed

```
ZnPb2Br
1.0
-1.250 -1.486 -3.054
-1.059 -1.373 3.177
-7.759 6.271 0.123
Br Zn Pb
1 1 2
direct
0.500 0.500 0.693
0.000 0.000 0.515
0.000 0.000 0.005
0.500 0.500 0.287
```

ρ	8.13	Mg/m³
calculated volume	114	Å³ per cell
distance to the lowest polymorph of the same formula	23	kJ/mol of formula units
crystal system	orthorhombic
spin magnetization	0.000	μB per formula unit


No. 4
Material: ZnPbBr2
Method: DFT, PBE
State: relaxed

```
ZnPbBr2
1.0
-1.797 3.474 0.730
-3.221 -2.304 3.035
1.724 -0.426 6.273
Zn Pb Br
1 1 2
direct
0.500 0.617 0.845
0.000 0.626 0.500
0.000 0.980 0.874
0.500 0.277 0.281
```

ρ	6.19	Mg/m³
calculated volume	116	Å³ per cell
distance to the lowest polymorph of the same formula	0	kJ/mol of formula units
crystal system	monoclinic
spin magnetization	0.000	μB per formula unit


No. 5
Material: ZnPbBr2
Method: DFT, PBE
State: relaxed

```
ZnPbBr2
1.0
-1.984 2.801 4.196
-4.347 3.169 -0.668
-4.748 -1.414 2.200
Zn Br Pb
1 2 1
direct
0.000 0.000 0.000
0.250 0.250 0.250
0.750 0.750 0.750
0.500 0.500 0.500
```

ρ	6.37	Mg/m³
calculated volume	113	Å³ per cell
distance to the lowest polymorph of the same formula	67	kJ/mol of formula units
crystal system	cubic
spin magnetization	0.000	μB per formula unit


No. 6
Material: ZnPb2Br
Method: DFT, PBE
State: relaxed

```
ZnPb2Br
1.0
0.000 3.805 3.805
3.805 0.000 3.805
3.805 3.805 0.000
Br Pb Zn
1 2 1
direct
0.500 0.500 0.500
0.750 0.750 0.750
0.250 0.250 0.250
0.000 0.000 0.000
```

ρ	8.44	Mg/m³
calculated volume	110	Å³ per cell
distance to the lowest polymorph of the same formula	84	kJ/mol of formula units
crystal system	cubic
spin magnetization	0.000	μB per formula unit


No. 7
Material: ZnPbBr3
Method: DFT, PBE
State: relaxed

```
ZnPbBr3
1.0
5.217 0.000 0.000
0.000 5.217 0.000
0.000 0.000 5.217
Pb Br Zn
1 3 1
direct
0.500 0.500 0.500
0.000 0.500 0.000
0.500 0.000 0.000
0.000 0.000 0.500
0.000 0.000 0.000
```

ρ	5.99	Mg/m³
calculated volume	142	Å³ per cell
distance to the lowest polymorph of the same formula	0	kJ/mol of formula units
crystal system	cubic
spin magnetization	0.000	μB per formula unit


No. 8
Material: Zn3PbBr
Method: DFT, PBE
State: relaxed

```
Zn3PbBr
1.0
5.231 0.000 0.000
0.000 5.231 0.000
0.000 0.000 5.231
Zn Br Pb
3 1 1
direct
0.500 0.000 0.000
0.000 0.500 0.000
0.000 0.000 0.500
0.000 0.000 0.000
0.500 0.500 0.500
```

ρ	5.61	Mg/m³
calculated volume	143	Å³ per cell
distance to the lowest polymorph of the same formula	178	kJ/mol of formula units
crystal system	cubic
spin magnetization	0.000	μB per formula unit


No. 9
Material: Zn3PbBr
Method: DFT, PBE
State: relaxed

```
Zn3PbBr
1.0
5.384 0.000 0.000
0.000 5.384 0.000
0.000 0.000 5.384
Pb Br Zn
1 1 3
direct
0.000 0.000 0.000
0.500 0.500 0.500
0.000 0.500 0.000
0.000 0.000 0.500
0.500 0.000 0.000
```

ρ	5.14	Mg/m³
calculated volume	156	Å³ per cell
distance to the lowest polymorph of the same formula	0	kJ/mol of formula units
crystal system	cubic
spin magnetization	0.000	μB per formula unit


No. 10
Material: ZnPb2Br
Method: DFT, PBE
State: relaxed

```
ZnPb2Br
1.0
6.937 0.018 -0.003
4.085 5.607 0.003
-4.989 -3.834 2.920
Zn Pb Br
1 2 1
direct
0.524 0.524 0.000
0.735 0.235 0.500
0.978 0.978 0.000
0.263 0.763 0.500
```

ρ	8.20	Mg/m³
calculated volume	113	Å³ per cell
distance to the lowest polymorph of the same formula	39	kJ/mol of formula units
crystal system	orthorhombic
spin magnetization	0.000	μB per formula unit


No. 11
Material: ZnPb2Br
Method: DFT, PBE
State: relaxed

```
ZnPb2Br
1.0
-3.010 1.105 5.733
2.931 -5.292 2.559
5.372 1.904 6.216
Br Pb Zn
2 4 2
direct
0.750 0.250 0.500
0.000 0.000 0.000
0.573 0.125 0.250
0.875 0.823 0.750
0.177 0.625 0.250
0.375 0.427 0.750
0.500 0.500 0.000
0.250 0.750 0.500
```

ρ	6.12	Mg/m³
calculated volume	304	Å³ per cell
distance to the lowest polymorph of the same formula	111	kJ/mol of formula units
crystal system	tetragonal
spin magnetization	0.000	μB per formula unit


No. 12
Material: ZnPbBr2
Method: DFT, PBE
State: relaxed

```
ZnPbBr2
1.0
5.487 0.011 0.224
-1.135 5.368 0.224
1.982 2.449 4.464
Br Pb Zn
2 1 1
direct
0.500 0.500 0.000
0.000 0.000 0.000
0.500 0.000 0.500
0.000 0.500 0.500
```

ρ	5.72	Mg/m³
calculated volume	126	Å³ per cell
distance to the lowest polymorph of the same formula	81	kJ/mol of formula units
crystal system	monoclinic
spin magnetization	0.000	μB per formula unit